No. 1
TcRu2Cl | PBE-GGA | optimized geometry

Electronic total energy   -6.81 eV per atom
Relative energy among the computed polymorphs   0.560 eV/atom
Calculated density   9476 kg/m3

Geometry as CIF:
```
data_TcRu2Cl
_chemical_formula_sum 'Tc2 Ru4 Cl2'
_cell_length_a 6.109
_cell_length_b 6.850
_cell_length_c 2.811
_cell_angle_alpha 90.00
_cell_angle_beta 90.00
_cell_angle_gamma 90.00
_symmetry_space_group_name_H-M 'C m m m'
_symmetry_Int_Tables_number 65
_symmetry_space_group_name_Hall '-C 2 2'
loop_
_atom_site_label
_atom_site_type_symbol
_atom_site_fract_x
_atom_site_fract_y
_atom_site_fract_z
Tc1 Tc 0.000 0.000 0.000
Ru1 Ru 0.250 0.250 0.500
Cl1 Cl 0.000 0.500 0.000
```

***

No. 2
GdCo4Sn | PBE-GGA | optimized geometry

Electronic total energy   -7.86 eV per atom
Calculated formation energy   -0.11 eV/atom
Calculated density   9557 kg/m3

Geometry as CIF:
```
data_GdCo4Sn
_chemical_formula_sum 'Gd4 Co16 Sn4'
_cell_length_a 7.085
_cell_length_b 7.085
_cell_length_c 7.085
_cell_angle_alpha 90.00
_cell_angle_beta 90.00
_cell_angle_gamma 90.00
_symmetry_space_group_name_H-M 'F -4 3 m'
_symmetry_Int_Tables_number 216
_symmetry_space_group_name_Hall 'F -4 2 3'
loop_
_atom_site_label
_atom_site_type_symbol
_atom_site_fract_x
_atom_site_fract_y
_atom_site_fract_z
Gd1 Gd 0.000 0.000 0.000
Co1 Co 0.125 0.125 0.625
Sn1 Sn 0.250 0.250 0.250
```

***

No. 3
Tb2MnPt | PBE-GGA | optimized geometry

Electronic total energy   -6.61 eV per atom
Calculated formation energy   -0.50 eV/atom
Calculated density   10774 kg/m3

Geometry as CIF:
```
data_Tb2MnPt
_chemical_formula_sum 'Tb2 Mn1 Pt1'
_cell_length_a 3.559
_cell_length_b 3.559
_cell_length_c 6.908
_cell_angle_alpha 90.00
_cell_angle_beta 90.00
_cell_angle_gamma 90.00
_symmetry_space_group_name_H-M 'P 4/m m m'
_symmetry_Int_Tables_number 123
_symmetry_space_group_name_Hall '-P 4 2'
loop_
_atom_site_label
_atom_site_type_symbol
_atom_site_fract_x
_atom_site_fract_y
_atom_site_fract_z
Tb1 Tb 0.000 0.000 0.244
Mn1 Mn 0.500 0.500 0.500
Pt1 Pt 0.500 0.500 0.000
```